1.
A plane-wave DFT calculation with PBE-GGA was carried out for Pm3Ge2Te3 after structural relaxation.

Formation energy without anion corrections (eV/atom): -0.9103

Cell: 9.2464 9.2464 6.0869 Å, 90.00 90.00 120.00°
Space group P6_3/mcm (No. 193)
One atom of each set of equivalent atoms:
Pm: 0.0000 0.3872 0.2500 x6
Ge: 0.3333 0.6667 0.0000 x4
Te: 0.0000 0.2697 0.7500 x6

---

2.
A plane-wave DFT calculation with PBE-GGA was carried out for Cs2RbZnGe2 after structural relaxation.

Excess energy over the best structure of this formula in the dataset (eV per atom): 0.053
Energy relative to the elements (eV per atom): 0.026

Cell: 13.748 4.580 10.148 Å, 90.00 117.97 90.00°
Space group Cm (No. 8)
One atom of each set of equivalent atoms:
Cs: 0.000 0.000 0.000 x2
Cs: 0.156 0.500 0.734 x2
Rb: 0.384 0.500 0.381 x2
Zn: 0.103 0.500 0.350 x2
Ge: 0.187 0.000 0.409 x2
Ge: 0.343 0.000 0.656 x2

---

Number 1: energy -5.02 eV/atom, spin magnetization 0.00 μB per formula unit. Number 2: energy -2.17 eV/atom, spin magnetization 0.00 μB per formula unit.